Ti2SiRhF GGA-PBE relaxed; magnetization = 0.5 μB per formula unit; space-group type = P4/mmm (123); E_form (uncorrected) = -49.8 kJ per mole of atoms
1.0
3.926 0.000 0.000
0.000 4.682 0.000
0.000 0.000 3.926
Si F Rh Ti
1 1 1 2
Cartesian
0.000 2.341 0.000 Si
0.000 0.000 0.000 F
1.963 2.341 1.963 Rh
0.000 0.000 1.963 Ti
1.963 0.000 0.000 Ti

ZnSi2RhF GGA-PBE relaxed; magnetization = 0.0 μB per formula unit; space-group type = P4/mmm (123); E_form (uncorrected) = -35.6 kJ per mole of atoms
1.0
4.468 0.000 0.000
0.000 4.883 0.000
0.000 0.000 4.468
Zn Rh Si F
1 1 2 1
Cartesian
0.000 2.441 0.000 Zn
0.000 0.000 0.000 Rh
0.000 0.000 2.234 Si
2.234 0.000 0.000 Si
2.234 2.441 2.234 F

SnRhF3 GGA-PBE relaxed; magnetization = 1.7 μB per formula unit; space-group type = Pm-3m (221); E_form (uncorrected) = -94.0 kJ per mole of atoms
1.0
-3.135 -2.769 1.691
2.942 -1.433 3.107
-1.369 3.261 2.801
Rh Sn F
1 1 3
Cartesian
-0.781 -0.471 3.800 Rh
0.000 0.000 0.000 Sn
1.471 -0.717 1.553 F
-0.685 1.631 1.401 F
-1.568 -1.385 0.846 F

SnRh3F GGA-PBE relaxed; magnetization = 3.0 μB per formula unit; space-group type = Pm-3m (221); E_form (uncorrected) = 36.0 kJ per mole of atoms
1.0
-1.941 3.295 -2.047
-1.850 -2.798 -2.750
-3.409 -0.358 2.658
Rh Sn F
3 1 1
Cartesian
-0.925 -1.399 -1.375 Rh
-1.705 -0.179 1.329 Rh
-0.971 1.648 -1.023 Rh
-3.600 0.070 -1.070 Sn
0.000 0.000 0.000 F

SnRhF3 GGA-PBE relaxed; magnetization = 0.0 μB per formula unit; space-group type = Pm-3m (221); E_form (uncorrected) = -101.4 kJ per mole of atoms
1.0
4.303 0.000 0.000
0.000 4.303 0.000
0.000 0.000 4.303
Rh Sn F
1 1 3
Cartesian
0.000 0.000 0.000 Rh
2.151 2.151 2.151 Sn
0.000 2.151 0.000 F
0.000 0.000 2.151 F
2.151 0.000 0.000 F

SnRh3F GGA-PBE relaxed; magnetization = 2.7 μB per formula unit; space-group type = Pm-3m (221); E_form (uncorrected) = 111.0 kJ per mole of atoms
1.0
4.969 0.000 0.000
0.000 4.969 0.000
0.000 0.000 4.969
Rh Sn F
3 1 1
Cartesian
0.000 2.484 0.000 Rh
0.000 0.000 2.484 Rh
2.484 0.000 0.000 Rh
0.000 0.000 0.000 Sn
2.484 2.484 2.484 F